(1)
This record from Alexandria describes a relaxed structure of Nd2ZnSi3Ir4. The functional is PBE.

E_tot in eV per atom: -7.17
Crystal system: tetragonal
E_form (uncorrected) in eV per atom: -0.913

a b c (Å): 4.1858 4.1858 10.0766
angles (deg): 90.00 90.00 90.00
Last column: nearest neighbours and their distance in Å.
Fractional positions:
Ir 0.0000 0.5000 0.3644  3 Si 2.39-2.50, 2 Zn 2.50
Ir 0.5000 0.5000 0.0000  4 Si 2.45
Ir 0.0000 0.0000 0.0000  4 Si 2.45
Si 0.0000 0.0000 0.5000  4 Ir 2.50
Si 0.0000 0.5000 0.1270  5 Ir 2.39-2.45
Si 0.5000 0.0000 0.8730  5 Ir 2.39-2.45
Nd 0.0000 0.5000 0.7469  8 Ir 3.17-3.30, 6 Si 3.22-3.25, 2 Zn 3.25
Ir 0.5000 0.0000 0.6356  3 Si 2.39-2.50, 2 Zn 2.50
Zn 0.5000 0.5000 0.5000  4 Ir 2.50
Nd 0.5000 0.0000 0.2531  8 Ir 3.17-3.30, 6 Si 3.22-3.25, 2 Zn 3.25

(2)
This record from Alexandria describes a relaxed structure of Tb3CoCu2. The functional is PBE.

E_tot in eV per atom: -5.07
Crystal system: orthorhombic

a b c (Å): 4.0530 11.3205 11.3187
angles (deg): 90.00 90.00 90.00
Last column: nearest neighbours and their distance in Å.
Fractional positions:
Tb 0.2500 0.7073 0.2278  2 Co 2.78, 4 Cu 2.94-3.06
Cu 0.7500 0.9925 0.6981  1 Co 2.50
Tb 0.7500 0.2073 0.2722  2 Co 2.78, 4 Cu 2.94-3.06
Tb 0.2500 0.7927 0.7278  2 Co 2.78, 4 Cu 2.94-3.06
Cu 0.7500 0.1911 0.0133  2 Co 2.45
Tb 0.7500 0.8756 0.4503  1 Co 2.85, 5 Cu 2.94-3.10
Tb 0.7500 0.5514 0.6185  3 Co 2.86-2.92, 5 Cu 2.97-2.99
Tb 0.7500 0.2927 0.7722  2 Co 2.78, 4 Cu 2.94-3.06
Tb 0.2500 0.1244 0.5497  1 Co 2.85, 5 Cu 2.94-3.10
Co 0.2500 0.3660 0.6204  3 Cu 2.45-2.50
Co 0.7500 0.6340 0.3796  3 Cu 2.45-2.50
Tb 0.7500 0.6244 0.9503  1 Co 2.85, 5 Cu 2.94-3.10
Co 0.7500 0.8660 0.8796  3 Cu 2.45-2.50
Cu 0.2500 0.8089 0.9867  2 Co 2.45
Cu 0.2500 0.6911 0.4867  2 Co 2.45
Cu 0.2500 0.0075 0.3019  1 Co 2.50
Cu 0.2500 0.4925 0.8019  1 Co 2.50
Co 0.2500 0.1340 0.1204  3 Cu 2.45-2.50
Cu 0.7500 0.3089 0.5133  2 Co 2.45
Tb 0.2500 0.0514 0.8815  3 Co 2.86-2.92, 5 Cu 2.97-2.99
Cu 0.7500 0.5075 0.1981  1 Co 2.50
Tb 0.7500 0.9486 0.1185  3 Co 2.86-2.92, 5 Cu 2.97-2.99
Tb 0.2500 0.3756 0.0497  1 Co 2.85, 5 Cu 2.94-3.10
Tb 0.2500 0.4486 0.3815  3 Co 2.86-2.92, 5 Cu 2.97-2.99

(3)
This record from Alexandria describes a relaxed structure of Sm8Dy2Sn. The functional is PBE.

E_tot in eV per atom: -4.62
Crystal system: monoclinic

a b c (Å): 7.2932 8.3332 8.3332
angles (deg): 47.71 104.27 104.27
Last column: nearest neighbours and their distance in Å.
Fractional positions:
Sm 0.6314 0.1862 0.6658  1 Sn 3.15, 5 Sm 3.23-3.51, 1 Dy 3.26
Sm 0.7685 0.1758 0.1758  3 Sm 3.40-3.43, 1 Sn 3.53, 3 Dy 3.60-3.67
Sm 0.0495 0.3960 0.3960  1 Dy 3.28, 6 Sm 3.43-3.59
Dy 0.7188 0.7612 0.7612  6 Sm 3.26-3.65
Sn 0.0000 0.0000 0.0000  6 Sm 3.15-3.53
Sm 0.3686 0.8138 0.3342  1 Sn 3.15, 5 Sm 3.23-3.51, 1 Dy 3.26
Sm 0.3686 0.3342 0.8138  1 Sn 3.15, 5 Sm 3.23-3.51, 1 Dy 3.26
Dy 0.2812 0.2388 0.2388  6 Sm 3.26-3.65
Sm 0.9505 0.6040 0.6040  1 Dy 3.28, 6 Sm 3.43-3.59
Sm 0.2315 0.8242 0.8242  3 Sm 3.40-3.43, 1 Sn 3.53, 3 Dy 3.60-3.67
Sm 0.6314 0.6658 0.1862  1 Sn 3.15, 5 Sm 3.23-3.51, 1 Dy 3.26

(4)
This record from Alexandria describes a relaxed structure of PuMn2Te3. The functional is PBE.

E_tot in eV per atom: -7.36
Crystal system: monoclinic
E_form (uncorrected) in eV per atom: -0.342

a b c (Å): 4.4090 7.9796 11.1940
angles (deg): 97.10 101.36 90.00
Last column: nearest neighbours and their distance in Å.
Fractional positions:
Mn 0.0470 0.1681 0.0941  4 Te 2.71-2.75
Mn 0.2868 0.5763 0.5737  4 Te 2.69-2.77, 2 Mn 2.91
Te 0.9231 0.1561 0.8462  2 Mn 2.71-2.75
Pu 0.3402 0.9759 0.6805  6 Te 3.09-3.27, 1 Mn 3.26
Mn 0.7132 0.4237 0.4263  4 Te 2.69-2.77, 2 Mn 2.91
Te 0.5884 0.3474 0.1768  3 Mn 2.72-2.73
Te 0.2455 0.2449 0.4910  3 Mn 2.69-2.77
Te 0.0769 0.8439 0.1538  2 Mn 2.71-2.75
Te 0.4116 0.6526 0.8232  3 Mn 2.72-2.73
Te 0.7545 0.7551 0.5090  3 Mn 2.69-2.77
Mn 0.9530 0.8319 0.9059  4 Te 2.71-2.75
Pu 0.6598 0.0241 0.3195  6 Te 3.09-3.27, 1 Mn 3.26